First-principles (PBE-GGA) data for an optimized crystal structure of Lu2MgBi, as listed in Alexandria.

Cell lengths 3.4719, 3.4719, 11.5758 Å; angles 81.38, 81.38, 60.00 degrees
Fractional coordinates of all 4 atoms:
Bi1 0.0000 0.0000 0.0000
Lu1 0.0918 0.0918 0.7247
Lu2 0.9082 0.9082 0.2753
Mg1 0.5000 0.5000 0.5000

Output
**Formation energy from the elements**: 6 kJ per mole of atoms